No. 1
Compound: CeSm2Ho
Source: Alexandria via LeMat-Bulk
Functional: PBE-GGA
Structure: optimized geometry

Lattice parameters (Å, degrees): 5.0523 5.0466 5.0466 90.00 90.00 90.00
Site moments in Bohr magnetons follow the coordinates.
Element x y z (fractional)
Ce1 0.5000 0.0000 0.0000  0.57
Sm1 0.0000 0.0000 0.5000  -0.01
Sm2 0.0000 0.5000 0.0000  -0.01
Ho1 0.5000 0.5000 0.5000  0.00

Computed properties:
- symmetry = No. 123
- electronic total energy (eV/atom) = -4.914
- energy relative to the elements (meV per atom) = 73


No. 2
Compound: CeSm15Ho4
Source: Alexandria via LeMat-Bulk
Functional: PBE-GGA
Structure: optimized geometry

Lattice parameters (Å, degrees): 5.0979 5.0979 25.4819 90.00 90.00 90.00
Site moments in Bohr magnetons follow the coordinates.
Element x y z (fractional)
Sm1 0.5000 0.0000 0.7001  0.00
Sm2 0.0000 0.5000 0.5000  0.00
Ho1 0.0000 0.0000 0.8001  -0.02
Sm3 0.0000 0.5000 0.0995  0.01
Sm4 0.5000 0.0000 0.0995  0.01
Ho2 0.0000 0.0000 0.6001  0.00
Sm5 0.5000 0.0000 0.9005  0.01
Sm6 0.5000 0.5000 0.0000  0.03
Sm7 0.5000 0.5000 0.2013  -0.01
Sm8 0.0000 0.5000 0.9005  0.01
Sm9 0.5000 0.5000 0.5998  0.00
Sm10 0.0000 0.5000 0.2999  0.00
Sm11 0.0000 0.5000 0.7001  0.00
Sm12 0.5000 0.0000 0.5000  0.00
Ce1 0.0000 0.0000 0.0000  0.78
Sm13 0.5000 0.0000 0.2999  0.00
Sm14 0.5000 0.5000 0.4002  0.00
Ho3 0.0000 0.0000 0.1999  -0.02
Ho4 0.0000 0.0000 0.3999  0.00
Sm15 0.5000 0.5000 0.7987  -0.01

Computed properties:
- symmetry = No. 123
- electronic total energy (eV/atom) = -4.722
- energy relative to the elements (meV per atom) = 29


No. 3
Compound: CeSm4Ho15
Source: Alexandria via LeMat-Bulk
Functional: PBE-GGA
Structure: optimized geometry

Lattice parameters (Å, degrees): 5.0212 5.0212 24.9913 90.00 90.00 90.00
Site moments in Bohr magnetons follow the coordinates.
Element x y z (fractional)
Sm1 0.0000 0.0000 0.8015  -0.02
Ho1 0.0000 0.5000 0.7008  0.01
Ho2 0.5000 0.0000 0.0983  0.02
Ho3 0.5000 0.5000 0.6004  -0.01
Sm2 0.0000 0.0000 0.3996  -0.01
Sm3 0.0000 0.0000 0.1985  -0.02
Ho4 0.0000 0.5000 0.2992  0.01
Ho5 0.5000 0.5000 0.3996  -0.01
Ho6 0.5000 0.5000 0.8004  -0.02
Ho7 0.5000 0.0000 0.5000  0.00
Sm4 0.0000 0.0000 0.6004  -0.01
Ho8 0.0000 0.5000 0.9017  0.02
Ho9 0.5000 0.5000 0.1996  -0.02
Ho10 0.5000 0.0000 0.7008  0.01
Ho11 0.0000 0.5000 0.0983  0.02
Ho12 0.5000 0.5000 0.0000  0.06
Ce1 0.0000 0.0000 0.0000  0.69
Ho13 0.5000 0.0000 0.2992  0.01
Ho14 0.5000 0.0000 0.9017  0.02
Ho15 0.0000 0.5000 0.5000  0.00

Computed properties:
- symmetry = No. 123
- electronic total energy (eV/atom) = -4.645
- energy relative to the elements (meV per atom) = 29


No. 4
Compound: CeSm2Ho3
Source: Alexandria via LeMat-Bulk
Functional: PBE-GGA
Structure: optimized geometry

Lattice parameters (Å, degrees): 5.6265 9.7655 6.9297 90.00 90.00 90.00
Site moments in Bohr magnetons follow the coordinates.
Element x y z (fractional)
Sm1 0.0000 0.3327 0.2535  0.02
Ce1 0.0000 0.0000 0.5000  0.64
Sm2 0.5000 0.8327 0.2465  0.02
Ho1 0.5000 0.5000 0.5000  0.02
Ho2 0.0000 0.0000 0.0000  0.02
Sm3 0.5000 0.1673 0.7535  0.02
Sm4 0.0000 0.6673 0.7465  0.02
Ho3 0.5000 0.1665 0.2496  0.03
Ho4 0.5000 0.8335 0.7504  0.03
Ho5 0.0000 0.3335 0.7496  0.03
Ho6 0.0000 0.6665 0.2504  0.03
Ce2 0.5000 0.5000 0.0000  0.64

Computed properties:
- symmetry = No. 58
- electronic total energy (eV/atom) = -4.756
- energy relative to the elements (meV per atom) = 95


No. 5
Compound: CeSmHo2
Source: Alexandria via LeMat-Bulk
Functional: PBE-GGA
Structure: optimized geometry

Lattice parameters (Å, degrees): 5.6628 5.6628 5.6628 60.00 60.00 60.00
Site moments in Bohr magnetons follow the coordinates.
Element x y z (fractional)
Ce1 0.0000 0.0000 0.0000  0.64
Ho1 0.2500 0.2500 0.2500  0.04
Sm1 0.5000 0.5000 0.5000  0.02
Ho2 0.7500 0.7500 0.7500  0.04

Computed properties:
- symmetry = No. 225
- electronic total energy (eV/atom) = -4.787
- energy relative to the elements (meV per atom) = 166


No. 6
Compound: CeSm5Ho4
Source: Alexandria via LeMat-Bulk
Functional: PBE-GGA
Structure: optimized geometry

Lattice parameters (Å, degrees): 3.4929 10.9385 9.0863 73.47 101.08 90.00
Site moments in Bohr magnetons follow the coordinates.
Element x y z (fractional)
Sm1 0.8954 0.2835 0.7909  0.00
Ho1 0.3043 0.0810 0.6085  0.00
Ho2 0.9062 0.8114 0.8124  0.01
Sm2 0.5000 0.5000 0.0000  0.00
Sm3 0.1046 0.7165 0.2091  0.00
Sm4 0.7939 0.6009 0.5878  -0.01
Ce1 0.5000 0.0000 0.0000  0.41
Sm5 0.2061 0.3991 0.4122  -0.01
Ho3 0.6957 0.9190 0.3915  0.00
Ho4 0.0938 0.1886 0.1876  0.01

Computed properties:
- symmetry = No. 12
- electronic total energy (eV/atom) = -4.677
- energy relative to the elements (meV per atom) = 107


No. 7
Compound: CeSmHo2
Source: Alexandria via LeMat-Bulk
Functional: PBE-GGA
Structure: optimized geometry

Lattice parameters (Å, degrees): 4.9735 5.0282 5.0282 90.00 90.00 90.00
Site moments in Bohr magnetons follow the coordinates.
Element x y z (fractional)
Ho1 0.0000 0.0000 0.5000  0.00
Ho2 0.0000 0.5000 0.0000  0.00
Ce1 0.5000 0.5000 0.5000  0.51
Sm1 0.5000 0.0000 0.0000  -0.01

Computed properties:
- symmetry = No. 123
- electronic total energy (eV/atom) = -4.882
- energy relative to the elements (meV per atom) = 70


No. 8
Compound: CeSm10Ho6
Source: Alexandria via LeMat-Bulk
Functional: PBE-GGA
Structure: optimized geometry

Lattice parameters (Å, degrees): 6.8686 9.7516 9.7516 120.00 90.00 90.00
Site moments in Bohr magnetons follow the coordinates.
Element x y z (fractional)
Ho1 0.6935 0.3730 0.3730  0.00
Ho2 0.6935 0.6270 0.0000  0.00
Sm1 0.5000 0.3333 0.6667  0.01
Ho3 0.3065 0.3730 0.0000  0.00
Ho4 0.3065 0.6270 0.6270  0.00
Sm2 0.8158 0.7261 0.7261  -0.01
Sm3 0.0000 0.6667 0.3333  -0.01
Sm4 0.8158 0.0000 0.2739  -0.01
Sm5 0.8158 0.2739 0.0000  -0.01
Sm6 0.5000 0.6667 0.3333  0.01
Sm7 0.0000 0.3333 0.6667  -0.01
Ho5 0.3065 0.0000 0.3730  0.00
Ce1 0.5000 0.0000 0.0000  0.78
Ho6 0.6935 0.0000 0.6270  0.00
Sm8 0.1842 0.7261 0.0000  -0.01
Sm9 0.1842 0.2739 0.2739  -0.01
Sm10 0.1842 0.0000 0.7261  -0.01

Computed properties:
- symmetry = No. 162
- electronic total energy (eV/atom) = -4.589
- energy relative to the elements (meV per atom) = 152


No. 9
Compound: CeSm7Ho4
Source: Alexandria via LeMat-Bulk
Functional: PBE-GGA
Structure: optimized geometry

Lattice parameters (Å, degrees): 5.9065 11.7292 6.6735 83.04 63.73 75.42
Site moments in Bohr magnetons follow the coordinates.
Element x y z (fractional)
Ho1 0.2556 0.3117 0.1771  -0.01
Ho2 0.7444 0.6883 0.8229  -0.01
Sm1 0.2040 0.0781 0.5139  0.02
Ho3 0.3655 0.7751 0.4939  -0.01
Sm2 0.9422 0.3279 0.7877  0.00
Sm3 0.3667 0.5039 0.7627  -0.01
Sm4 0.5000 0.0000 0.0000  0.06
Sm5 0.7960 0.9219 0.4861  0.02
Sm6 0.6333 0.4961 0.2373  -0.01
Ce1 0.0000 0.0000 0.0000  0.57
Ho4 0.6345 0.2249 0.5061  -0.01
Sm7 0.0578 0.6721 0.2123  0.00

Computed properties:
- symmetry = No. 12
- electronic total energy (eV/atom) = -4.512
- energy relative to the elements (meV per atom) = 261


No. 10
Compound: CeSm14Ho
Source: Alexandria via LeMat-Bulk
Functional: PBE-GGA
Structure: optimized geometry

Lattice parameters (Å, degrees): 7.2400 7.2400 10.2215 90.00 90.00 89.99
Site moments in Bohr magnetons follow the coordinates.
Element x y z (fractional)
Sm1 0.3752 0.1251 0.0000  0.01
Sm2 0.8749 0.6248 0.0000  0.01
Ce1 0.8750 0.1250 0.0000  0.76
Ho1 0.3750 0.6250 0.0000  -0.01
Sm3 0.1240 0.3740 0.7522  0.00
Sm4 0.6259 0.3741 0.2479  0.00
Sm5 0.6259 0.3741 0.7521  0.00
Sm6 0.6260 0.8760 0.7522  0.00
Sm7 0.8752 0.6252 0.5000  0.00
Sm8 0.1241 0.8759 0.2476  0.00
Sm9 0.6260 0.8760 0.2478  0.00
Sm10 0.8750 0.1250 0.5000  0.00
Sm11 0.1240 0.3740 0.2478  0.00
Sm12 0.3750 0.6250 0.5000  -0.01
Sm13 0.3748 0.1248 0.5000  0.00
Sm14 0.1241 0.8759 0.7524  0.00

Computed properties:
- symmetry = No. 123
- electronic total energy (eV/atom) = -4.756
- energy relative to the elements (meV per atom) = 30


No. 11
Compound: CeSm3Ho6
Source: Alexandria via LeMat-Bulk
Functional: PBE-GGA
Structure: optimized geometry

Lattice parameters (Å, degrees): 8.6411 8.8717 6.2478 97.58 133.75 90.00
Site moments in Bohr magnetons follow the coordinates.
Element x y z (fractional)
Ce1 0.5000 0.5000 0.0000  0.63
Sm1 0.0000 0.0000 0.0000  -0.02
Ho1 0.6987 0.6452 0.7595  0.05
Ho2 0.0608 0.6452 0.7595  0.05
Ho3 0.6185 0.8701 0.2370  0.07
Ho4 0.9392 0.3548 0.2405  0.05
Sm2 0.7806 0.2698 0.5612  0.02
Sm3 0.2194 0.7302 0.4388  0.02
Ho5 0.3013 0.3548 0.2405  0.05
Ho6 0.3815 0.1299 0.7630  0.07

Computed properties:
- symmetry = No. 12
- electronic total energy (eV/atom) = -4.442
- energy relative to the elements (meV per atom) = 314


No. 12
Compound: CeSm8Ho2
Source: Alexandria via LeMat-Bulk
Functional: PBE-GGA
Structure: optimized geometry

Lattice parameters (Å, degrees): 5.6486 10.2696 10.2696 39.87 92.89 92.89
Site moments in Bohr magnetons follow the coordinates.
Element x y z (fractional)
Sm1 0.2322 0.1870 0.1870  0.00
Sm2 0.7342 0.3997 0.8652  0.00
Sm3 0.7617 0.4549 0.4549  -0.01
Ho1 0.2540 0.7161 0.7161  -0.05
Sm4 0.7678 0.8130 0.8130  0.00
Ho2 0.7460 0.2839 0.2839  -0.05
Ce1 0.0000 0.0000 0.0000  0.97
Sm5 0.2658 0.1348 0.6003  0.00
Sm6 0.2383 0.5451 0.5451  -0.01
Sm7 0.2658 0.6003 0.1348  0.00
Sm8 0.7342 0.8652 0.3997  0.00

Computed properties:
- symmetry = No. 12
- electronic total energy (eV/atom) = -4.627
- energy relative to the elements (meV per atom) = 176